No. 1
This record from Alexandria via LeMat-Bulk describes an optimized crystal structure of ZnTcW2. The functional is PBE.

```
ZnTcW2
1.0
3.2540 0.0000 0.0000
0.0000 3.2540 0.0000
0.0000 0.0000 5.7344
Zn Tc W
1 1 2
Cartesian
0.0000 0.0000 0.0000 Zn
0.0000 0.0000 2.8672 Tc
1.6270 1.6270 1.3679 W
1.6270 1.6270 4.3664 W
```

## Properties
- Space group: P4/mmm, No. 123
- Total moment: 0.000 μB per formula unit
- E_tot: -9.0481 eV per atom

No. 2
This record from Alexandria via LeMat-Bulk describes an optimized crystal structure of ZnTcW2. The functional is PBE.

```
ZnTcW2
1.0
2.8056 0.0000 0.0000
-1.4028 2.4298 0.0000
0.0000 0.0000 27.2755
Zn Tc W
3 3 6
Cartesian
0.0000 0.0000 0.0000 Zn
0.0000 1.6198 18.1837 Zn
1.4028 0.8099 9.0918 Zn
0.0000 0.0000 13.6377 Tc
0.0000 1.6198 4.5459 Tc
1.4028 0.8099 22.7296 Tc
0.0000 0.0000 6.7676 W
0.0000 0.0000 20.5078 W
0.0000 1.6198 11.4160 W
0.0000 1.6198 24.9513 W
1.4028 0.8099 2.3242 W
1.4028 0.8099 15.8595 W
```

## Properties
- Space group: R-3m, No. 166
- Total moment: 0.000 μB per formula unit
- E_tot: -9.1202 eV per atom

No. 3
This record from Alexandria via LeMat-Bulk describes an optimized crystal structure of Zn2Tc2W. The functional is PBE.

```
Zn2Tc2W
1.0
6.8048 0.0000 0.0000
0.0000 6.8048 0.0000
0.0000 0.0000 3.1339
Zn Tc W
4 4 2
Cartesian
0.8441 2.5583 0.0000 Zn
2.5583 5.9608 0.0000 Zn
4.2465 0.8441 0.0000 Zn
5.9608 4.2465 0.0000 Zn
1.1981 4.6005 1.5670 Tc
2.2043 1.1981 1.5670 Tc
4.6005 5.6067 1.5670 Tc
5.6067 2.2043 1.5670 Tc
0.0000 0.0000 0.0000 W
3.4024 3.4024 0.0000 W
```

## Properties
- Space group: P4/mbm, No. 127
- Total moment: 0.000 μB per formula unit
- E_tot: -6.9263 eV per atom

No. 4
This record from Alexandria via LeMat-Bulk describes an optimized crystal structure of Zn2TcW. The functional is PBE.

```
Zn2TcW
1.0
2.8137 0.0000 0.0000
-1.4068 2.4367 0.0000
0.0000 0.0000 26.7069
Zn Tc W
6 3 3
Cartesian
0.0000 0.0000 0.0000 Zn
0.0000 0.0000 6.6360 Zn
0.0000 1.6245 17.8046 Zn
0.0000 1.6245 24.4406 Zn
1.4068 0.8122 8.9023 Zn
1.4068 0.8122 15.5383 Zn
0.0000 0.0000 20.0026 Tc
0.0000 1.6245 11.1003 Tc
1.4068 0.8122 2.1980 Tc
0.0000 0.0000 13.2345 W
0.0000 1.6245 4.3322 W
1.4068 0.8122 22.1368 W
```

## Properties
- Space group: R3m, No. 160
- Total moment: 0.000 μB per formula unit
- E_tot: -6.3058 eV per atom